Compound: NdMgS3
Source: the Alexandria database
Functional: GGA-PBE
Structure: optimized geometry

Computed properties:
- formation energy (no corrections) (eV per formula unit) = -6.17
- SG = C2/m (12)
- final energy (eV/atom) = -4.98

Cell: 6.991 6.991 6.877 Å, 105.69 105.69 110.04°
Fractional coordinates of all 10 atoms:
Nd (0.216, 0.216, 0.258)
Nd (0.784, 0.784, 0.742)
Mg (0.340, 0.660, 0.000)
Mg (0.660, 0.340, 0.000)
S (0.072, 0.764, 0.142)
S (0.236, 0.928, 0.858)
S (0.424, 0.424, 0.719)
S (0.576, 0.576, 0.281)
S (0.764, 0.072, 0.142)
S (0.928, 0.236, 0.858)